# Tb2CdF

A geometry-optimized Tb2CdF structure (PBE-GGA, Alexandria via LeMat-Bulk).

a = 3.722 Å, b = 3.722 Å, c = 7.866 Å
α = 76.32°, β = 76.32°, γ = 60.00°
Atoms (fractional coordinates):
1 Tb 0.272 0.272 0.184
2 Tb 0.728 0.728 0.816
3 Cd 0.500 0.500 0.500
4 F 0.000 0.000 0.000

Calculated values
**Formation energy without anion corrections**: -1.1999 eV per atom
**Calculated volume**: 91 Å³/cell
**Calculated total energy**: -4.21 eV per atom